This record from the Alexandria database describes a relaxed LiMnGa2 crystal. The functional is PBE.

Calculated values
energy relative to the elements: -3.91 kcal/mol of atoms
DOS(E_F): 0.4574 states/eV/atom
total moment: 2.8 μB per cell
symmetry: P4/mmm, No. 123

Unit cell a=3.042 b=3.042 c=6.149 alpha=90.00 beta=90.00 gamma=90.00
Each line ends with the local moment (μB).
Element x y z (fractional)
Ga  0.000  0.000  0.250  -0.08
Ga  0.000  0.000  0.750  -0.08
Mn  0.500  0.500  0.000  2.96
Li  0.500  0.500  0.500  -0.01



This record from the Alexandria database describes a relaxed RbNpHg2O6 crystal. The functional is PBE.

Calculated values
total moment: 0.0 μB per cell
symmetry: P-1, No. 2
E_form (uncorrected): -1.47 eV/atom

Unit cell a=6.255 b=6.250 c=6.312 alpha=90.04 beta=119.66 gamma=120.02
Element x y z (fractional)
O  0.123  0.160  0.748
O  0.870  0.836  0.212
O  0.192  0.356  0.212
O  0.801  0.640  0.748
O  0.603  0.961  0.748
O  0.390  0.034  0.213
Hg  0.541  0.770  0.296
Hg  0.453  0.225  0.665
Np  0.997  0.998  0.980
Rb  0.997  0.498  0.480



Number 1: mass density 5.9 g/cm³. Number 2: mass density 7.8 g/cm³.